# CaSmAsS | Alexandria | PBE-GGA | optimized geometry
data_CaSmAsS
_cell_length_a 4.1624
_cell_length_b 4.1624
_cell_length_c 20.3114
_cell_angle_alpha 90.00
_cell_angle_beta 90.00
_cell_angle_gamma 120.00
_symmetry_space_group_name_H-M 'R 3 m'
_symmetry_Int_Tables_number 160
_symmetry_space_group_name_Hall 'R 3 -2"'
loop_
_atom_site_label
_atom_site_type_symbol
_atom_site_fract_x
_atom_site_fract_y
_atom_site_fract_z
_atom_site_occupancy
Ca1 Ca 0.0000 0.0000 0.0000 1
Sm1 Sm 0.0000 0.0000 0.5013 1
As1 As 0.0000 0.0000 0.2478 1
S1 S 0.0000 0.0000 0.7510 1
# DOS(E_F) = 0.07 states/eV per cell
# raw formation energy = -1.75 eV per atom
# total magnetic moment = 0.0 μB/cell

# CaTl2AsS4 | Alexandria | PBE-GGA | optimized geometry
data_CaTl2AsS4
_cell_length_a 7.990
_cell_length_b 8.345
_cell_length_c 11.552
_cell_angle_alpha 90.00
_cell_angle_beta 90.00
_cell_angle_gamma 90.00
_symmetry_space_group_name_H-M 'I m m a'
_symmetry_Int_Tables_number 74
_symmetry_space_group_name_Hall '-I 2b 2'
loop_
_atom_site_label
_atom_site_type_symbol
_atom_site_fract_x
_atom_site_fract_y
_atom_site_fract_z
_atom_site_occupancy
Ca1 Ca 0.000 0.000 0.000 1
Tl1 Tl 0.000 0.000 0.500 1
Tl2 Tl 0.250 0.250 0.250 1
As1 As 0.250 0.250 0.750 1
S1 S 0.000 0.041 0.756 1
S2 S 0.237 0.250 0.976 1
# DOS(E_F) = 14.94 states/eV per cell
# raw formation energy = -0.61 eV per atom
# total magnetic moment = 0.0 μB/cell

Q: Number 1 is which compound?
A: CaSmAsS